1.
Zn2NiRu: optimized geometry, PBE-GGA.

a b c (Å): 2.9909 2.9909 5.9138
angles (deg): 90.00 90.00 90.00
With the nearest neighbours (Å) after each atom.
Fractional positions:
Zn 0.0000 0.0000 0.9993  4 Ru 2.63, 4 Zn 2.65, 1 Ni 2.94
Zn 0.5000 0.5000 0.2682  4 Ni 2.51, 4 Zn 2.65, 1 Ru 2.76
Ru 0.5000 0.5000 0.7356  4 Ni 2.54, 5 Zn 2.63-2.76
Ni 0.0000 0.0000 0.4969  4 Zn 2.51, 4 Ru 2.54

Output
formation enthalpy at 0 K = 2.39 kJ/mol of atoms

***

2.
LiCe2PdS4: optimized geometry, PBE-GGA.

a b c (Å): 4.0913 6.1979 7.1385
angles (deg): 66.52 90.00 90.00
With the nearest neighbours (Å) after each atom.
Fractional positions:
Ce 0.0000 0.0000 0.0000  6 S 2.80-2.81
S 0.5000 0.2591 0.7391  2 Li 2.70, 3 Ce 2.77-2.80, 1 Pd 2.81
S 0.0000 0.2582 0.2462  2 Pd 2.72, 1 Li 2.77, 3 Ce 2.78-2.81
Li 0.0000 0.5000 0.5000  6 S 2.70-2.77
S 0.0000 0.7418 0.7538  2 Pd 2.72, 1 Li 2.77, 3 Ce 2.78-2.81
Pd 0.5000 0.5000 0.0000  6 S 2.72-2.81
S 0.5000 0.7409 0.2609  2 Li 2.70, 3 Ce 2.77-2.80, 1 Pd 2.81
Ce 0.5000 0.0000 0.5000  6 S 2.77-2.78

Output
energy relative to the elements, uncorrected = -1.471 eV per atom

***

3.
K2WSe4: optimized geometry, PBE-GGA.

a b c (Å): 7.2583 10.0040 12.8359
angles (deg): 90.00 90.00 90.00
With the nearest neighbours (Å) after each atom.
Fractional positions:
Se 0.2500 0.7761 0.6156  1 W 2.34
K 0.2500 0.1538 0.3861  8 Se 3.55-3.75
W 0.7500 0.7516 0.9344  4 Se 2.33-2.35
K 0.7500 0.3462 0.8861  8 Se 3.55-3.75
K 0.7500 0.5509 0.3458  7 Se 3.31-3.68
Se 0.4915 0.1462 0.6352  1 W 2.33
W 0.2500 0.7484 0.4344  4 Se 2.33-2.35
Se 0.5085 0.3538 0.1352  1 W 2.33
Se 0.5085 0.8538 0.3648  1 W 2.33
Se 0.9915 0.3538 0.1352  1 W 2.33
K 0.7500 0.8462 0.6139  8 Se 3.55-3.75
K 0.2500 0.9491 0.8458  7 Se 3.31-3.68
Se 0.9915 0.8538 0.3648  1 W 2.33
Se 0.7500 0.4791 0.6128  1 W 2.35
Se 0.2500 0.5209 0.3872  1 W 2.35
W 0.7500 0.2516 0.5656  4 Se 2.33-2.35
Se 0.7500 0.9791 0.8872  1 W 2.35
Se 0.4915 0.6462 0.8648  1 W 2.33
K 0.2500 0.4491 0.6542  7 Se 3.31-3.68
Se 0.2500 0.2761 0.8844  1 W 2.34
K 0.7500 0.0509 0.1542  7 Se 3.31-3.68
Se 0.7500 0.2239 0.3844  1 W 2.34
Se 0.7500 0.7239 0.1156  1 W 2.34
K 0.2500 0.6538 0.1139  8 Se 3.55-3.75
Se 0.0085 0.6462 0.8648  1 W 2.33
W 0.2500 0.2484 0.0656  4 Se 2.33-2.35
Se 0.0085 0.1462 0.6352  1 W 2.33
Se 0.2500 0.0209 0.1128  1 W 2.35

Output
energy relative to the elements, uncorrected = -0.825 eV per atom

***

4.
TlSiPt2: optimized geometry, PBE-GGA.

a b c (Å): 7.2790 7.2790 5.8916
angles (deg): 51.85 51.85 90.00
With the nearest neighbours (Å) after each atom.
Fractional positions:
Si 0.5000 0.5000 0.0000  4 Pt 2.34
Tl 0.0000 0.0000 0.0000  2 Si 2.87, 8 Pt 3.05-3.10
Pt 0.3750 0.4474 0.7500  2 Si 2.34
Pt 0.8750 0.8026 0.7500  2 Si 2.34
Si 0.2500 0.7500 0.5000  4 Pt 2.34
Pt 0.1974 0.6250 0.2500  2 Si 2.34
Pt 0.5526 0.1250 0.2500  2 Si 2.34
Tl 0.7500 0.2500 0.5000  2 Si 2.87, 8 Pt 3.05-3.10

Output
energy relative to the elements, uncorrected = -0.166 eV per atom

***

5.
Pm3Sm2HoEr6: optimized geometry, PBE-GGA.

a b c (Å): 6.1804 6.1804 11.7395
angles (deg): 95.02 95.02 119.98
With the nearest neighbours (Å) after each atom.
Fractional positions:
Er 0.4162 0.0831 0.2487  2 Sm 3.54, 1 Ho 3.54, 3 Pm 3.56, 6 Er 3.56-3.57
Pm 0.1667 0.8333 0.5000  6 Er 3.56, 6 Pm 3.57
Er 0.5838 0.9169 0.7513  2 Sm 3.54, 1 Ho 3.54, 3 Pm 3.56, 6 Er 3.56-3.57
Er 0.2497 0.2497 0.7510  1 Ho 3.54, 2 Sm 3.54, 3 Pm 3.56, 6 Er 3.57
Er 0.9169 0.5838 0.7513  2 Sm 3.54, 1 Ho 3.54, 3 Pm 3.56, 6 Er 3.56-3.57
Er 0.0831 0.4162 0.2487  2 Sm 3.54, 1 Ho 3.54, 3 Pm 3.56, 6 Er 3.56-3.57
Ho 0.0000 0.0000 0.0000  6 Er 3.54, 6 Sm 3.57
Sm 0.3335 0.6665 0.0000  6 Er 3.54, 3 Sm 3.56-3.57, 3 Ho 3.57
Pm 0.5000 0.5000 0.5000  6 Er 3.56, 6 Pm 3.57
Sm 0.6665 0.3335 0.0000  6 Er 3.54, 3 Sm 3.56-3.57, 3 Ho 3.57
Pm 0.8333 0.1667 0.5000  6 Er 3.56, 6 Pm 3.57
Er 0.7503 0.7503 0.2490  1 Ho 3.54, 2 Sm 3.54, 3 Pm 3.56, 6 Er 3.57

Output
formation enthalpy at 0 K = 1.58 kJ/mol of atoms

***

6.
PaTi3: optimized geometry, PBE-GGA.

a b c (Å): 4.1275 4.1275 5.3045
angles (deg): 112.90 112.90 90.00
With the nearest neighbours (Å) after each atom.
Fractional positions:
Ti 0.5000 0.5000 0.0000  4 Pa 2.92, 8 Ti 3.03
Ti 0.2500 0.7500 0.5000  8 Ti 2.92-3.03, 4 Pa 3.03
Ti 0.7500 0.2500 0.5000  8 Ti 2.92-3.03, 4 Pa 3.03
Pa 0.0000 0.0000 0.0000  12 Ti 2.92-3.03

Output
formation enthalpy at 0 K = 8.14 kJ/mol of atoms

***

7.
TiGa3Te: optimized geometry, PBE-GGA.

a b c (Å): 5.0898 5.0898 5.0898
angles (deg): 90.00 90.00 90.00
With the nearest neighbours (Å) after each atom.
Fractional positions:
Ga 0.0000 0.5000 0.0000  2 Ti 2.54
Te 0.5000 0.5000 0.5000  12 Ga 3.60
Ga 0.0000 0.0000 0.5000  2 Ti 2.54
Ti 0.0000 0.0000 0.0000  6 Ga 2.54
Ga 0.5000 0.0000 0.0000  2 Ti 2.54

Output
energy relative to the elements, uncorrected = 0.432 eV per atom

***

8.
LiBiI2: optimized geometry, PBE-GGA.

a b c (Å): 5.6610 5.6610 5.6610
angles (deg): 60.00 60.00 60.00
With the nearest neighbours (Å) after each atom.
Fractional positions:
I 0.7500 0.7500 0.7500  4 Li 3.47, 4 Bi 3.47
Bi 0.5000 0.5000 0.5000  8 I 3.47
I 0.2500 0.2500 0.2500  4 Bi 3.47, 4 Li 3.47
Li 0.0000 0.0000 0.0000  8 I 3.47

Output
energy relative to the elements, uncorrected = -0.154 eV per atom

***

| no. | M_tot (μB/atom) |
| --- | --- |
| 1 | 0.09 |
| 2 | 0.13 |
| 3 | 0.00 |
| 4 | 0.00 |
| 5 | 0.00 |
| 6 | 0.00 |
| 7 | 0.00 |
| 8 | 0.00 |